Record 1
Here is crystalline CaCeNb2O8 at its relaxed geometry from Alexandria. Energies are from GGA-PBE.

abc: 5.302 5.302 6.738
angles: 113.17 113.17 90.00
Sites, in units of the cell vectors:
Ca (0.750, 0.250, 0.500)
Nb (0.500, 0.500, 0.000)
Nb (0.250, 0.750, 0.500)
O (0.986, 0.410, 0.314)
O (0.590, 0.671, 0.686)
O (0.096, 0.014, 0.686)
O (0.769, 0.836, 0.175)
O (0.661, 0.231, 0.825)
O (0.329, 0.904, 0.314)
O (0.164, 0.594, 0.825)
O (0.406, 0.339, 0.175)
Ce (0.000, 0.000, 0.000)

E_form (uncorrected): -2.923 eV per atom
mass density: 5213 kg/m³

---

Record 2
Here is crystalline Ca3Ce2NbP6 at its relaxed geometry from Alexandria. Energies are from GGA-PBE.

abc: 6.911 6.911 7.006
angles: 99.54 99.54 120.03
Sites, in units of the cell vectors:
Ca (0.170, 0.830, 0.500)
Ca (0.830, 0.170, 0.500)
Ca (0.500, 0.500, 0.500)
P (0.236, 0.236, 0.773)
P (0.764, 0.764, 0.227)
P (0.389, 0.076, 0.227)
P (0.076, 0.389, 0.227)
P (0.611, 0.924, 0.773)
P (0.924, 0.611, 0.773)
Ce (0.666, 0.334, 0.000)
Ce (0.334, 0.666, 0.000)
Nb (0.000, 0.000, 0.000)

ΔE_f: -1.158 eV/atom
mass density: 4127 kg/m³

---

Record 3
Here is crystalline CaCe2Nd at its relaxed geometry from Alexandria. Energies are from GGA-PBE.

abc: 3.468 3.468 12.911
angles: 82.28 82.28 60.00
Last column: magnetic moment on the atom in μB.
Sites, in units of the cell vectors:
Ca (0.000, 0.000, 0.000)  0.00
Nd (0.500, 0.500, 0.500)  -0.02
Ce (0.089, 0.089, 0.734)  0.79
Ce (0.911, 0.911, 0.266)  0.79

ΔE_f: 0.257 eV/atom
mass density: 5806 kg/m³

---

Record 4
Here is crystalline CaCeNd at its relaxed geometry from Alexandria. Energies are from GGA-PBE.

abc: 3.643 3.643 9.190
angles: 90.00 90.00 120.00
Last column: magnetic moment on the atom in μB.
Sites, in units of the cell vectors:
Nd (0.667, 0.333, 0.347)  -0.01
Ca (0.000, 0.000, 0.997)  0.02
Ce (0.333, 0.667, 0.656)  0.84

E above lowest polymorph: 0.0 kJ/mol of formula units
ΔE_f: 0.135 eV/atom
mass density: 5100 kg/m³

---

Record 5
Here is crystalline CaCeNd2 at its relaxed geometry from Alexandria. Energies are from GGA-PBE.

abc: 5.098 5.239 5.239
angles: 90.00 90.00 90.00
Last column: magnetic moment on the atom in μB.
Sites, in units of the cell vectors:
Ca (0.500, 0.500, 0.500)  0.01
Nd (0.000, 0.500, 0.000)  0.04
Nd (0.000, 0.000, 0.500)  0.04
Ce (0.500, 0.000, 0.000)  0.85

E above lowest polymorph: 36.8 kJ/mol of formula units
ΔE_f: 0.167 eV/atom
mass density: 5563 kg/m³

---

Record 6
Here is crystalline CaCeNd at its relaxed geometry from Alexandria. Energies are from GGA-PBE.

abc: 3.620 3.620 8.471
angles: 102.34 102.34 90.00
Last column: magnetic moment on the atom in μB.
Sites, in units of the cell vectors:
Nd (0.676, 0.676, 0.352)  -0.04
Ce (0.326, 0.326, 0.651)  0.84
Ca (0.998, 0.998, 0.997)  0.02

E above lowest polymorph: 1.3 kJ/mol of formula units
ΔE_f: 0.140 eV/atom
mass density: 5092 kg/m³

---

Record 7
Here is crystalline CaCeNd2 at its relaxed geometry from Alexandria. Energies are from GGA-PBE.

abc: 4.286 4.286 9.118
angles: 76.41 76.41 60.00
Sites, in units of the cell vectors:
Nd (0.060, 0.060, 0.821)
Nd (0.272, 0.272, 0.185)
Ce (0.670, 0.670, 0.990)
Ca (0.499, 0.499, 0.504)

E above lowest polymorph: 162.2 kJ/mol of formula units
ΔE_f: 0.492 eV/atom
mass density: 5575 kg/m³

---

Record 8
Here is crystalline CaCeNd2 at its relaxed geometry from Alexandria. Energies are from GGA-PBE.

abc: 5.869 5.869 5.869
angles: 60.00 60.00 60.00
Last column: magnetic moment on the atom in μB.
Sites, in units of the cell vectors:
Ce (0.000, 0.000, 0.000)  1.05
Nd (0.750, 0.750, 0.750)  0.17
Nd (0.250, 0.250, 0.250)  0.17
Ca (0.500, 0.500, 0.500)  0.03

E above lowest polymorph: 61.3 kJ/mol of formula units
ΔE_f: 0.230 eV/atom
mass density: 5444 kg/m³

---

Record 9
Here is crystalline CaCeNd2 at its relaxed geometry from Alexandria. Energies are from GGA-PBE.

abc: 4.179 4.179 10.354
angles: 78.36 78.36 60.00
Sites, in units of the cell vectors:
Ce (0.500, 0.500, 0.500)
Ca (0.000, 0.000, 0.000)
Nd (0.886, 0.886, 0.342)
Nd (0.114, 0.114, 0.658)

E above lowest polymorph: 258.1 kJ/mol of formula units
ΔE_f: 0.740 eV/atom
mass density: 5110 kg/m³

---

Record 10
Here is crystalline CaCeNd2 at its relaxed geometry from Alexandria. Energies are from GGA-PBE.

abc: 3.630 3.630 10.515
angles: 90.00 90.00 90.00
Last column: magnetic moment on the atom in μB.
Sites, in units of the cell vectors:
Ce (0.500, 0.500, 0.000)  0.15
Nd (0.000, 0.000, 0.774)  0.00
Nd (0.000, 0.000, 0.226)  0.00
Ca (0.500, 0.500, 0.500)  0.00

E above lowest polymorph: 0.0 kJ/mol of formula units
ΔE_f: 0.072 eV/atom
mass density: 5616 kg/m³

---

Record 11
Here is crystalline CaCe4Nd at its relaxed geometry from Alexandria. Energies are from GGA-PBE.

abc: 6.442 6.442 6.442
angles: 60.00 60.00 60.00
Last column: magnetic moment on the atom in μB.
Sites, in units of the cell vectors:
Ce (0.616, 0.616, 0.616)  0.66
Ce (0.152, 0.616, 0.616)  0.66
Ce (0.616, 0.616, 0.152)  0.66
Ce (0.616, 0.152, 0.616)  0.66
Nd (0.000, 0.000, 0.000)  0.03
Ca (0.250, 0.250, 0.250)  0.01

ΔE_f: 0.250 eV/atom
mass density: 6541 kg/m³

---

Record 12
Here is crystalline Ca2CeNdP4 at its relaxed geometry from Alexandria. Energies are from GGA-PBE.

abc: 4.160 7.221 7.102
angles: 109.87 90.00 90.00
Sites, in units of the cell vectors:
P (0.500, 0.239, 0.236)
P (0.000, 0.753, 0.241)
P (0.000, 0.247, 0.759)
P (0.500, 0.761, 0.764)
Ca (0.000, 0.500, 0.500)
Ca (0.500, 0.000, 0.500)
Ce (0.000, 0.000, 0.000)
Nd (0.500, 0.500, 0.000)

ΔE_f: -1.225 eV/atom
mass density: 4042 kg/m³

---

Record 13
Here is crystalline CaCeNd2S4 at its relaxed geometry from Alexandria. Energies are from GGA-PBE.

abc: 8.098 8.098 8.072
angles: 119.90 119.90 90.00
Last column: magnetic moment on the atom in μB.
Sites, in units of the cell vectors:
S (0.753, 0.747, 0.997)  -0.01
S (0.754, 0.257, 0.506)  0.00
S (0.243, 0.746, 0.994)  0.00
S (0.247, 0.253, 0.003)  -0.01
S (0.753, 0.747, 0.503)  -0.01
S (0.246, 0.743, 0.494)  0.00
S (0.247, 0.253, 0.497)  -0.01
S (0.757, 0.254, 0.006)  0.00
Nd (0.500, 0.000, 0.000)  0.00
Nd (0.500, 0.500, 0.000)  -0.01
Nd (0.000, 0.000, 0.500)  -0.01
Nd (0.500, 0.000, 0.500)  0.00
Ca (0.000, 0.500, 0.500)  0.00
Ca (0.000, 0.500, 0.000)  0.00
Ce (0.000, 0.000, 0.000)  0.60
Ce (0.500, 0.500, 0.500)  0.60

E_form (uncorrected): -2.039 eV per atom
mass density: 5280 kg/m³